Compound: Ac4SnBi2Se
Source: Alexandria via LeMat-Bulk
Functional: GGA-PBE
Structure: optimized geometry

Lattice parameters (Å, degrees): 8.247 4.784 8.303 90.00 109.48 90.00
Fractional coordinates of all 8 atoms:
1 Ac 0.248 0.000 0.241
2 Ac 0.251 0.500 0.759
3 Ac 0.749 0.500 0.241
4 Ac 0.752 0.000 0.759
5 Sn 0.500 0.000 0.000
6 Bi 0.000 0.000 0.500
7 Bi 0.500 0.500 0.500
8 Se 0.000 0.500 0.000

Calculated values
The uncorrected formation energy comes out at -9.1 eV/f.u. The space group is P2/m (10). The value obtained for the magnetic moment is 0.0 μB per formula unit. Its crystal system is monoclinic.

---

Compound: Ac6SnBi2Se3
Source: Alexandria via LeMat-Bulk
Functional: GGA-PBE
Structure: optimized geometry

Lattice parameters (Å, degrees): 10.420 10.420 9.295 101.59 101.59 26.15
Fractional coordinates of all 12 atoms:
1 Ac 0.003 0.003 0.251
2 Ac 0.334 0.334 0.426
3 Ac 0.337 0.337 0.909
4 Ac 0.663 0.663 0.091
5 Ac 0.666 0.666 0.574
6 Ac 0.997 0.997 0.749
7 Sn 0.500 0.500 0.500
8 Bi 0.168 0.168 0.835
9 Bi 0.832 0.832 0.165
10 Se 0.168 0.168 0.333
11 Se 0.500 0.500 0.000
12 Se 0.832 0.832 0.667

Calculated values
The uncorrected formation energy comes out at -16.6 eV/f.u. The space group is C2/m (12). The value obtained for the magnetic moment is 0.0 μB per formula unit. Its crystal system is monoclinic.

---

Compound: AcTbBiSe
Source: Alexandria via LeMat-Bulk
Functional: GGA-PBE
Structure: optimized geometry

Lattice parameters (Å, degrees): 11.840 11.840 11.840 26.07 26.07 26.07
Fractional coordinates of all 8 atoms:
1 Ac 0.117 0.117 0.117
2 Ac 0.883 0.883 0.883
3 Tb 0.295 0.295 0.295
4 Tb 0.705 0.705 0.705
5 Bi 0.389 0.389 0.389
6 Bi 0.611 0.611 0.611
7 Se 0.207 0.207 0.207
8 Se 0.793 0.793 0.793

Calculated values
The uncorrected formation energy comes out at -4.7 eV/f.u. The space group is R-3m (166). The value obtained for the magnetic moment is 0.0 μB per formula unit. Its crystal system is trigonal.

---

Compound: Ac4BiTe2Se
Source: Alexandria via LeMat-Bulk
Functional: GGA-PBE
Structure: optimized geometry

Lattice parameters (Å, degrees): 8.153 4.695 8.185 90.00 109.24 90.00
Fractional coordinates of all 8 atoms:
1 Ac 0.232 0.000 0.233
2 Ac 0.239 0.500 0.758
3 Ac 0.761 0.500 0.242
4 Ac 0.768 0.000 0.767
5 Bi 0.500 0.000 0.000
6 Te 0.000 0.000 0.500
7 Te 0.500 0.500 0.500
8 Se 0.000 0.500 0.000

Calculated values
The uncorrected formation energy comes out at -11.7 eV/f.u. The space group is P2/m (10). The value obtained for the magnetic moment is 0.0 μB per formula unit. Its crystal system is monoclinic.

---

Compound: AcBiTe2Se
Source: Alexandria via LeMat-Bulk
Functional: GGA-PBE
Structure: optimized geometry

Lattice parameters (Å, degrees): 4.618 4.618 15.879 90.00 90.00 90.00
Fractional coordinates of all 10 atoms:
1 Ac 0.250 0.250 0.135
2 Ac 0.750 0.750 0.865
3 Bi 0.250 0.250 0.603
4 Bi 0.750 0.750 0.397
5 Te 0.250 0.250 0.393
6 Te 0.250 0.250 0.794
7 Te 0.750 0.750 0.206
8 Te 0.750 0.750 0.607
9 Se 0.250 0.750 0.000
10 Se 0.750 0.250 0.000

Calculated values
The uncorrected formation energy comes out at -4.8 eV/f.u. The space group is P4/nmm (129). The value obtained for the magnetic moment is 0.0 μB per formula unit. Its crystal system is tetragonal.

---

Compound: Ac6Bi3TeSe2
Source: Alexandria via LeMat-Bulk
Functional: GGA-PBE
Structure: optimized geometry

Lattice parameters (Å, degrees): 10.541 10.541 9.409 102.29 102.29 26.01
Fractional coordinates of all 12 atoms:
1 Ac 0.006 0.006 0.255
2 Ac 0.329 0.329 0.425
3 Ac 0.331 0.331 0.904
4 Ac 0.669 0.669 0.096
5 Ac 0.671 0.671 0.575
6 Ac 0.994 0.994 0.745
7 Bi 0.163 0.163 0.832
8 Bi 0.500 0.500 0.500
9 Bi 0.837 0.837 0.168
10 Te 0.500 0.500 0.000
11 Se 0.168 0.168 0.334
12 Se 0.832 0.832 0.666

Calculated values
The uncorrected formation energy comes out at -16.4 eV/f.u. The space group is C2/m (12). The value obtained for the magnetic moment is 0.0 μB per formula unit. Its crystal system is monoclinic.

---

Compound: Ac4BiTeSe2
Source: Alexandria via LeMat-Bulk
Functional: GGA-PBE
Structure: optimized geometry

Lattice parameters (Å, degrees): 8.002 4.631 8.079 90.00 109.34 90.00
Fractional coordinates of all 8 atoms:
1 Ac 0.241 0.000 0.227
2 Ac 0.257 0.500 0.772
3 Ac 0.743 0.500 0.228
4 Ac 0.759 0.000 0.773
5 Bi 0.000 0.000 0.500
6 Te 0.500 0.500 0.500
7 Se 0.000 0.500 0.000
8 Se 0.500 0.000 0.000

Calculated values
The uncorrected formation energy comes out at -12.4 eV/f.u. The space group is P2/m (10). The value obtained for the magnetic moment is 0.0 μB per formula unit. Its crystal system is monoclinic.

---

Compound: Ac8Bi3Te4Se
Source: Alexandria via LeMat-Bulk
Functional: GGA-PBE
Structure: optimized geometry

Lattice parameters (Å, degrees): 9.518 9.518 9.518 60.10 60.10 60.10
Fractional coordinates of all 16 atoms:
1 Ac 0.250 0.250 0.250
2 Ac 0.258 0.258 0.742
3 Ac 0.258 0.742 0.258
4 Ac 0.258 0.742 0.742
5 Ac 0.742 0.258 0.258
6 Ac 0.742 0.258 0.742
7 Ac 0.742 0.742 0.258
8 Ac 0.750 0.750 0.750
9 Bi 0.000 0.000 0.500
10 Bi 0.000 0.500 0.000
11 Bi 0.500 0.000 0.000
12 Te 0.000 0.000 0.000
13 Te 0.000 0.500 0.500
14 Te 0.500 0.000 0.500
15 Te 0.500 0.500 0.000
16 Se 0.500 0.500 0.500

Calculated values
The uncorrected formation energy comes out at -21.8 eV/f.u. The space group is R-3m (166). The value obtained for the magnetic moment is 0.0 μB per formula unit. Its crystal system is trigonal.

---

Compound: Ac6Bi2Te3Se
Source: Alexandria via LeMat-Bulk
Functional: GGA-PBE
Structure: optimized geometry

Lattice parameters (Å, degrees): 10.620 10.620 9.493 103.12 103.12 25.80
Fractional coordinates of all 12 atoms:
1 Ac 0.002 0.002 0.270
2 Ac 0.334 0.334 0.917
3 Ac 0.343 0.343 0.422
4 Ac 0.657 0.657 0.578
5 Ac 0.666 0.666 0.083
6 Ac 0.998 0.998 0.730
7 Bi 0.165 0.165 0.832
8 Bi 0.835 0.835 0.168
9 Te 0.171 0.171 0.335
10 Te 0.500 0.500 0.000
11 Te 0.829 0.829 0.665
12 Se 0.500 0.500 0.500

Calculated values
The uncorrected formation energy comes out at -16.8 eV/f.u. The space group is C2/m (12). The value obtained for the magnetic moment is 0.0 μB per formula unit. Its crystal system is monoclinic.

---

Compound: Ac6BiTe3Se2
Source: Alexandria via LeMat-Bulk
Functional: GGA-PBE
Structure: optimized geometry

Lattice parameters (Å, degrees): 8.044 8.044 8.184 99.43 99.43 119.99
Fractional coordinates of all 12 atoms:
1 Ac 0.075 0.421 0.766
2 Ac 0.229 0.229 0.230
3 Ac 0.421 0.075 0.766
4 Ac 0.579 0.925 0.234
5 Ac 0.771 0.771 0.770
6 Ac 0.925 0.579 0.234
7 Bi 0.500 0.500 0.000
8 Te 0.000 0.000 0.500
9 Te 0.339 0.661 0.500
10 Te 0.661 0.339 0.500
11 Se 0.168 0.832 0.000
12 Se 0.832 0.168 0.000

Calculated values
The uncorrected formation energy comes out at -18.4 eV/f.u. The space group is C2/m (12). The value obtained for the magnetic moment is 0.0 μB per formula unit. Its crystal system is monoclinic.

---

Compound: Ac6Bi2TeSe3
Source: Alexandria via LeMat-Bulk
Functional: GGA-PBE
Structure: optimized geometry

Lattice parameters (Å, degrees): 10.406 10.406 9.305 103.05 103.05 25.84
Fractional coordinates of all 12 atoms:
1 Ac 0.005 0.005 0.237
2 Ac 0.328 0.328 0.426
3 Ac 0.337 0.337 0.906
4 Ac 0.663 0.663 0.094
5 Ac 0.672 0.672 0.574
6 Ac 0.995 0.995 0.763
7 Bi 0.165 0.165 0.832
8 Bi 0.835 0.835 0.168
9 Te 0.500 0.500 0.500
10 Se 0.167 0.167 0.335
11 Se 0.500 0.500 0.000
12 Se 0.833 0.833 0.665

Calculated values
The uncorrected formation energy comes out at -18.1 eV/f.u. The space group is C2/m (12). The value obtained for the magnetic moment is 0.0 μB per formula unit. Its crystal system is monoclinic.

---

Compound: AcThBiSe
Source: Alexandria via LeMat-Bulk
Functional: GGA-PBE
Structure: optimized geometry

Lattice parameters (Å, degrees): 5.044 5.044 10.974 90.00 90.00 90.00
Fractional coordinates of all 8 atoms:
1 Ac 0.250 0.250 0.153
2 Ac 0.750 0.750 0.847
3 Th 0.250 0.750 0.500
4 Th 0.750 0.250 0.500
5 Bi 0.250 0.250 0.700
6 Bi 0.750 0.750 0.300
7 Se 0.250 0.750 0.000
8 Se 0.750 0.250 0.000

Calculated values
The uncorrected formation energy comes out at -3.9 eV/f.u. The space group is P4/nmm (129). The value obtained for the magnetic moment is 0.0 μB per formula unit. Its crystal system is tetragonal.

---

Compound: AcTl3Bi2Se6
Source: Alexandria via LeMat-Bulk
Functional: GGA-PBE
Structure: optimized geometry

Lattice parameters (Å, degrees): 7.607 7.607 8.094 99.03 99.03 119.87
Fractional coordinates of all 12 atoms:
1 Ac 0.000 0.000 0.000
2 Tl 0.165 0.835 0.500
3 Tl 0.500 0.500 0.500
4 Tl 0.835 0.165 0.500
5 Bi 0.334 0.666 0.000
6 Bi 0.666 0.334 0.000
7 Se 0.073 0.419 0.218
8 Se 0.275 0.275 0.786
9 Se 0.419 0.073 0.218
10 Se 0.581 0.927 0.782
11 Se 0.725 0.725 0.214
12 Se 0.927 0.581 0.782

Calculated values
The uncorrected formation energy comes out at -9.3 eV/f.u. The space group is C2/m (12). The value obtained for the magnetic moment is 0.0 μB per formula unit. Its crystal system is monoclinic.

---

Compound: Ac2Tl3BiSe6
Source: Alexandria via LeMat-Bulk
Functional: GGA-PBE
Structure: optimized geometry

Lattice parameters (Å, degrees): 7.765 7.765 8.125 99.18 99.18 119.98
Fractional coordinates of all 12 atoms:
1 Ac 0.166 0.834 0.000
2 Ac 0.834 0.166 0.000
3 Tl 0.000 0.000 0.500
4 Tl 0.331 0.669 0.500
5 Tl 0.669 0.331 0.500
6 Bi 0.500 0.500 0.000
7 Se 0.106 0.428 0.784
8 Se 0.251 0.251 0.220
9 Se 0.428 0.106 0.784
10 Se 0.572 0.894 0.216
11 Se 0.749 0.749 0.780
12 Se 0.894 0.572 0.216

Calculated values
The uncorrected formation energy comes out at -13.2 eV/f.u. The space group is C2/m (12). The value obtained for the magnetic moment is 0.0 μB per formula unit. Its crystal system is monoclinic.

---

Compound: AcTl2BiSe4
Source: Alexandria via LeMat-Bulk
Functional: GGA-PBE
Structure: optimized geometry

Lattice parameters (Å, degrees): 7.676 4.449 8.129 90.00 108.51 90.00
Fractional coordinates of all 8 atoms:
1 Ac 0.000 0.000 0.000
2 Tl 0.000 0.500 0.500
3 Tl 0.500 0.000 0.500
4 Bi 0.500 0.500 0.000
5 Se 0.249 0.500 0.218
6 Se 0.271 0.000 0.785
7 Se 0.729 0.000 0.215
8 Se 0.751 0.500 0.782

Calculated values
The uncorrected formation energy comes out at -7.5 eV/f.u. The space group is P2/m (10). The value obtained for the magnetic moment is 0.0 μB per formula unit. Its crystal system is monoclinic.

---

Compound: Ac4TlBiSe2
Source: Alexandria via LeMat-Bulk
Functional: GGA-PBE
Structure: optimized geometry

Lattice parameters (Å, degrees): 8.079 4.623 8.201 90.00 109.09 90.00
Fractional coordinates of all 8 atoms:
1 Ac 0.238 0.000 0.242
2 Ac 0.238 0.500 0.747
3 Ac 0.762 0.000 0.758
4 Ac 0.762 0.500 0.253
5 Tl 0.500 0.000 0.000
6 Bi 0.500 0.500 0.500
7 Se 0.000 0.000 0.500
8 Se 0.000 0.500 0.000

Calculated values
The uncorrected formation energy comes out at -9.8 eV/f.u. The space group is P2/m (10). The value obtained for the magnetic moment is 0.0 μB per formula unit. Its crystal system is monoclinic.

---

Compound: AcZnBiSe
Source: Alexandria via LeMat-Bulk
Functional: GGA-PBE
Structure: optimized geometry

Lattice parameters (Å, degrees): 5.126 5.126 8.898 90.00 90.00 90.00
Fractional coordinates of all 8 atoms:
1 Ac 0.250 0.250 0.188
2 Ac 0.750 0.750 0.812
3 Zn 0.250 0.750 0.500
4 Zn 0.750 0.250 0.500
5 Bi 0.250 0.250 0.653
6 Bi 0.750 0.750 0.347
7 Se 0.250 0.750 0.000
8 Se 0.750 0.250 0.000

Calculated values
The uncorrected formation energy comes out at -3.6 eV/f.u. The space group is P4/nmm (129). The value obtained for the magnetic moment is 0.0 μB per formula unit. Its crystal system is tetragonal.

---

Compound: Ac2ZnBiSe5
Source: Alexandria via LeMat-Bulk
Functional: GGA-PBE
Structure: optimized geometry

Lattice parameters (Å, degrees): 9.221 9.221 12.627 90.00 90.00 152.00
Fractional coordinates of all 18 atoms:
1 Ac 0.109 0.891 0.500
2 Ac 0.133 0.867 0.140
3 Ac 0.867 0.133 0.640
4 Ac 0.891 0.109 0.000
5 Zn 0.457 0.543 0.225
6 Zn 0.543 0.457 0.725
7 Bi 0.186 0.814 0.848
8 Bi 0.814 0.186 0.348
9 Se 0.013 0.987 0.808
10 Se 0.286 0.714 0.486
11 Se 0.321 0.679 0.163
12 Se 0.346 0.654 0.821
13 Se 0.482 0.518 0.549
14 Se 0.518 0.482 0.049
15 Se 0.654 0.346 0.321
16 Se 0.679 0.321 0.663
17 Se 0.714 0.286 0.986
18 Se 0.987 0.013 0.308

Calculated values
The uncorrected formation energy comes out at -11.3 eV/f.u. The space group is Cmc2_1 (36). The value obtained for the magnetic moment is 0.0 μB per formula unit. Its crystal system is orthorhombic.

---

Compound: Ac5Si2Bi2
Source: Alexandria via LeMat-Bulk
Functional: GGA-PBE
Structure: optimized geometry

Lattice parameters (Å, degrees): 9.495 9.495 8.795 90.00 90.00 54.96
Fractional coordinates of all 18 atoms:
1 Ac 0.000 0.000 0.000
2 Ac 0.037 0.713 0.660
3 Ac 0.213 0.537 0.160
4 Ac 0.287 0.963 0.660
5 Ac 0.463 0.787 0.160
6 Ac 0.500 0.500 0.500
7 Ac 0.537 0.213 0.840
8 Ac 0.713 0.037 0.340
9 Ac 0.787 0.463 0.840
10 Ac 0.963 0.287 0.340
11 Si 0.143 0.857 0.357
12 Si 0.357 0.643 0.857
13 Si 0.643 0.357 0.143
14 Si 0.857 0.143 0.643
15 Bi 0.204 0.204 0.000
16 Bi 0.296 0.296 0.500
17 Bi 0.704 0.704 0.500
18 Bi 0.796 0.796 0.000

Calculated values
The uncorrected formation energy comes out at -6.3 eV/f.u. The space group is Cmce (64). The value obtained for the magnetic moment is 0.0 μB per formula unit. Its crystal system is orthorhombic.

---

Compound: Ac4Si2Bi
Source: Alexandria via LeMat-Bulk
Functional: GGA-PBE
Structure: optimized geometry

Lattice parameters (Å, degrees): 8.916 8.916 8.916 109.51 109.46 109.44
Fractional coordinates of all 14 atoms:
1 Ac 0.209 0.281 0.571
2 Ac 0.209 0.638 0.929
3 Ac 0.281 0.209 0.071
4 Ac 0.362 0.791 0.571
5 Ac 0.638 0.209 0.429
6 Ac 0.719 0.791 0.929
7 Ac 0.791 0.362 0.071
8 Ac 0.791 0.719 0.429
9 Si 0.000 0.500 0.500
10 Si 0.500 0.000 0.000
11 Si 0.500 0.500 0.000
12 Si 0.500 0.500 0.500
13 Bi 0.125 0.875 0.250
14 Bi 0.875 0.125 0.750

Calculated values
The uncorrected formation energy comes out at -3.7 eV/f.u. The space group is Imma (74). The value obtained for the magnetic moment is 0.2 μB per formula unit. Its crystal system is orthorhombic.

---

Compound: AcSiBi3
Source: Alexandria via LeMat-Bulk
Functional: GGA-PBE
Structure: optimized geometry

Lattice parameters (Å, degrees): 5.505 5.505 5.505 90.00 90.00 90.00
Fractional coordinates of all 5 atoms:
1 Ac 0.000 0.000 0.000
2 Si 0.500 0.500 0.500
3 Bi 0.000 0.500 0.500
4 Bi 0.500 0.000 0.500
5 Bi 0.500 0.500 0.000

Calculated values
The uncorrected formation energy comes out at 0.2 eV/f.u. The space group is Pm-3m (221). The value obtained for the magnetic moment is 0.0 μB per formula unit. Its crystal system is cubic.

---

Compound: Ac2SiBi
Source: Alexandria via LeMat-Bulk
Functional: GGA-PBE
Structure: optimized geometry

Lattice parameters (Å, degrees): 5.716 5.716 5.716 60.00 60.00 60.00
Fractional coordinates of all 4 atoms:
1 Ac 0.250 0.250 0.250
2 Ac 0.750 0.750 0.750
3 Si 0.000 0.000 0.000
4 Bi 0.500 0.500 0.500

Calculated values
As for the relative energy among the computed polymorphs: 190 meV/atom. The uncorrected formation energy comes out at -1.8 eV/f.u. The space group is Fm-3m (225). The value obtained for the magnetic moment is 0.0 μB per formula unit. Its crystal system is cubic.